[1]
DFT (PBE-GGA) results for crystalline LaBiH2Cl at its relaxed geometry.

Output
E_tot: -3.79 eV per atom
Spin magnetization: 0.00 μB/atom

Cell: 4.4769 5.7769 4.4769 Å, 90.00 90.00 90.00°
Element x y z (fractional)
Cl 0.0000 0.5000 0.0000
La 0.0000 0.0000 0.0000
Bi 0.5000 0.5000 0.5000
H 0.5000 0.0000 0.0000
H 0.0000 0.0000 0.5000

=====

[2]
DFT (PBE-GGA) results for crystalline Y2Sc2Ru at its relaxed geometry.

Output
Spin magnetization: 0.01 μB/atom
DFT formation energy: -0.08 eV per atom

Cell: 6.7359 6.7359 5.4855 Å, 90.00 90.00 90.00°
Element x y z (fractional)
Y 0.6741 0.8259 0.5000
Sc 0.6585 0.1585 0.0000
Sc 0.8415 0.6585 0.0000
Ru 0.0000 0.0000 0.0000
Ru 0.5000 0.5000 0.0000
Y 0.8259 0.3259 0.5000
Y 0.1741 0.6741 0.5000
Y 0.3259 0.1741 0.5000
Sc 0.3415 0.8415 0.0000
Sc 0.1585 0.3415 0.0000

=====

[3]
DFT (PBE-GGA) results for crystalline GeB2Te at its relaxed geometry.

Output
Offset from the most stable computed form: 1.2045 eV/atom
Spin magnetization: 0.00 μB/atom
E_form (uncorrected): 1.61 eV per atom

Cell: 4.3644 4.3644 4.3644 Å, 60.00 60.00 60.00°
Element x y z (fractional)
B 0.2500 0.2500 0.2500
Te 0.5000 0.5000 0.5000
B 0.7500 0.7500 0.7500
Ge 0.0000 0.0000 0.0000

=====

[4]
DFT (PBE-GGA) results for crystalline Li5Sn2Hg2 at its relaxed geometry.

Output
Offset from the most stable computed form: 0.0000 eV/atom
Spin magnetization: 0.00 μB/atom
DFT formation energy: -0.32 eV per atom

Cell: 4.9378 5.2396 8.5750 Å, 64.46 73.27 61.89°
Element x y z (fractional)
Hg 0.3374 0.3168 0.0084
Li 0.0000 0.0000 0.0000
Li 0.1092 0.4568 0.3249
Li 0.8908 0.5432 0.6751
Hg 0.6626 0.6832 0.9916
Sn 0.7765 0.0949 0.3521
Sn 0.2235 0.9051 0.6479
Li 0.4537 0.7688 0.3238
Li 0.5463 0.2312 0.6762

=====

[5]
DFT (PBE-GGA) results for crystalline NbHgS2 at its relaxed geometry.

Output
Spin magnetization: 0.25 μB/atom
E_form (uncorrected): -0.49 eV per atom

Cell: 9.6303 6.3839 6.3839 Å, 112.14 132.70 47.30°
Element x y z (fractional)
S 0.1714 0.6188 0.6636
Nb 0.7500 0.8072 0.3072
Hg 0.7500 0.2294 0.7294
S 0.3286 0.1636 0.1188
Nb 0.2500 0.1928 0.6928
Hg 0.2500 0.7706 0.2706
S 0.8286 0.3812 0.3364
S 0.6714 0.8364 0.8812

=====

[6]
DFT (PBE-GGA) results for crystalline ScCu2IrS at its relaxed geometry.

Output
Spin magnetization: 0.00 μB/atom
E_form (uncorrected): 1.37 eV per atom

Cell: 4.7605 4.6647 4.7605 Å, 90.00 90.00 90.00°
Element x y z (fractional)
S 0.5000 0.5000 0.5000
Cu 0.5000 0.0000 0.0000
Ir 0.0000 0.5000 0.0000
Cu 0.0000 0.0000 0.5000
Sc 0.0000 0.0000 0.0000

=====

[7]
DFT (PBE-GGA) results for crystalline LiCdRh2 at its relaxed geometry.

Output
Spin magnetization: 0.16 μB/atom
DFT formation energy: -0.07 eV per atom

Cell: 4.6522 4.6522 4.6522 Å, 127.79 127.79 76.96°
Element x y z (fractional)
Rh 0.0000 0.0000 0.0000
Cd 0.5000 0.5000 0.0000
Rh 0.2500 0.7500 0.5000
Li 0.7500 0.2500 0.5000

=====

[8]
DFT (PBE-GGA) results for crystalline TaInAg at its relaxed geometry.

Output
Spin magnetization: 0.00 μB/atom
DFT formation energy: 0.20 eV per atom

Cell: 6.9152 6.9150 2.9438 Å, 77.71 77.71 24.58°
Element x y z (fractional)
In 0.3322 0.3322 0.6678
Ag 0.0031 0.0031 0.9969
Ta 0.6647 0.6647 0.3353

=====

[9]
DFT (PBE-GGA) results for crystalline TbTh2OsN5 at its relaxed geometry.

Output
Spin magnetization: 0.00 μB/atom
E_form (uncorrected): -0.91 eV per atom

Cell: 6.7155 6.7155 7.6004 Å, 116.22 116.22 90.00°
Element x y z (fractional)
Os 0.2500 0.7500 0.5000
N 0.0000 0.0000 0.0000
N 0.0085 0.5085 0.7229
Th 0.3216 0.8216 0.0000
N 0.7144 0.2144 0.7229
Tb 0.7500 0.7500 0.5000
Th 0.1784 0.3216 0.0000
N 0.2856 0.7856 0.2771
N 0.4915 0.2856 0.2771
N 0.9915 0.4915 0.2771
Th 0.6784 0.1784 0.0000
Th 0.8216 0.6784 0.0000
N 0.5000 0.5000 0.0000
N 0.7856 0.9915 0.2771
N 0.2144 0.0085 0.7229
Tb 0.2500 0.2500 0.5000
Os 0.7500 0.2500 0.5000
N 0.5085 0.7144 0.7229

=====

[10]
DFT (PBE-GGA) results for crystalline LaTaFe at its relaxed geometry.

Output
Offset from the most stable computed form: 1.3995 eV/atom
Spin magnetization: 0.34 μB/atom
DFT formation energy: 1.62 eV per atom

Cell: 4.5122 4.5122 4.5122 Å, 60.00 60.00 60.00°
Element x y z (fractional)
Fe 0.5000 0.5000 0.5000
La 0.7500 0.7500 0.7500
Ta 0.0000 0.0000 0.0000

=====

[11]
DFT (PBE-GGA) results for crystalline CsCdCo2Cl8 at its relaxed geometry.

Output
Spin magnetization: 0.58 μB/atom
E_form (uncorrected): -0.94 eV per atom

Cell: 6.4883 6.4883 10.3991 Å, 71.82 71.82 60.00°
Element x y z (fractional)
Cl 0.8186 0.8186 0.5443
Cl 0.3919 0.7228 0.8379
Co 0.7436 0.7436 0.7693
Cl 0.0475 0.3919 0.8379
Co 0.2564 0.2564 0.2307
Cs 0.5000 0.5000 0.5000
Cl 0.9525 0.6081 0.1621
Cl 0.7228 0.0475 0.8379
Cl 0.2772 0.9525 0.1621
Cd 0.0000 0.0000 0.0000
Cl 0.6081 0.2772 0.1621
Cl 0.1814 0.1814 0.4557

=====

[12]
DFT (PBE-GGA) results for crystalline MnPPt2 at its relaxed geometry.

Output
Spin magnetization: 0.81 μB/atom
DFT formation energy: -0.33 eV per atom

Cell: 5.6408 5.6408 3.5470 Å, 90.00 90.00 148.55°
Element x y z (fractional)
Mn 0.5427 0.4573 0.0000
Pt 0.1745 0.8255 0.5000
Pt 0.8225 0.1775 0.0000
P 0.9611 0.0389 0.5000

=====

[13]
DFT (PBE-GGA) results for crystalline Pu2U3Si at its relaxed geometry.

Output
Spin magnetization: 0.00 μB/atom
E_form (uncorrected): -0.15 eV per atom

Cell: 4.6476 7.3286 8.6626 Å, 127.30 105.56 90.00°
Element x y z (fractional)
Si 0.1552 0.0921 0.3105
U 0.3033 0.6068 0.6065
U 0.9508 0.6560 0.9016
Pu 0.4988 0.1590 0.9975
U 0.6967 0.3932 0.3935
Si 0.8448 0.9079 0.6895
Pu 0.5012 0.8410 0.0025
U 0.6323 0.7744 0.2646
U 0.0492 0.3440 0.0984
Pu 0.7901 0.2267 0.5803
U 0.3677 0.2256 0.7354
Pu 0.2099 0.7733 0.4197

=====

[14]
DFT (PBE-GGA) results for crystalline Zr5Os at its relaxed geometry.

Output
Offset from the most stable computed form: 0.0000 eV/atom
Spin magnetization: 0.00 μB/atom
DFT formation energy: -0.16 eV per atom

Cell: 3.3128 5.7869 7.3741 Å, 71.08 90.00 106.63°
Element x y z (fractional)
Zr 0.6934 0.3869 0.6347
Os 0.0278 0.0555 0.9444
Zr 0.0278 0.0557 0.4445
Zr 0.3621 0.7243 0.2542
Zr 0.6761 0.3521 0.0907
Zr 0.3795 0.7589 0.7981

=====

[15]
DFT (PBE-GGA) results for crystalline InIr2S at its relaxed geometry.

Output
Offset from the most stable computed form: 0.0000 eV/atom
Spin magnetization: 0.00 μB/atom
E_form (uncorrected): 0.14 eV per atom

Cell: 4.5683 4.5683 8.2482 Å, 73.92 73.92 90.00°
Element x y z (fractional)
Ir 0.3750 0.4869 0.7500
Ir 0.5131 0.1250 0.2500
In 0.0000 0.0000 0.0000
In 0.7500 0.2500 0.5000
Ir 0.8750 0.7631 0.7500
S 0.5000 0.5000 0.0000
S 0.2500 0.7500 0.5000
Ir 0.2369 0.6250 0.2500

=====

[16]
DFT (PBE-GGA) results for crystalline CaAlPb2 at its relaxed geometry.

Output
Spin magnetization: 0.00 μB/atom
DFT formation energy: -0.05 eV per atom

Cell: 6.4217 6.4217 3.5565 Å, 75.25 75.25 117.43°
Element x y z (fractional)
Pb 0.0000 0.0000 0.0000
Pb 0.5000 0.5000 0.0000
Al 0.5000 0.0000 0.5000
Ca 0.0000 0.5000 0.5000

=====

[17]
DFT (PBE-GGA) results for crystalline Sr2GePbSe4 at its relaxed geometry.

Output
Spin magnetization: 0.00 μB/atom
E_form (uncorrected): -1.17 eV per atom

Cell: 4.3474 7.5348 7.5423 Å, 70.54 90.00 90.00°
Element x y z (fractional)
Sr 0.5000 0.0000 0.5000
Se 0.5000 0.2567 0.7586
Pb 0.0000 0.5000 0.5000
Se 0.5000 0.7433 0.2414
Se 0.0000 0.7352 0.7654
Sr 0.0000 0.0000 0.0000
Ge 0.5000 0.5000 0.0000
Se 0.0000 0.2648 0.2346

=====

[18]
DFT (PBE-GGA) results for crystalline La5Al3Ni2 at its relaxed geometry.

Output
Spin magnetization: 0.00 μB/atom
DFT formation energy: -0.40 eV per atom

Cell: 7.9269 7.9269 10.4327 Å, 90.00 90.00 128.44°
Element x y z (fractional)
La 0.1251 0.8749 0.0000
La 0.5282 0.9635 0.2500
La 0.0365 0.4718 0.7500
La 0.9635 0.5282 0.2500
Al 0.3525 0.6475 0.5000
Ni 0.6713 0.6713 0.0595
Ni 0.6713 0.6713 0.4405
Al 0.6475 0.3525 0.5000
La 0.3910 0.3910 0.2500
La 0.4718 0.0365 0.7500
Al 0.1190 0.1190 0.7500
Al 0.3525 0.6475 0.0000
Ni 0.3287 0.3287 0.9405
La 0.8749 0.1251 0.0000
Al 0.8810 0.8810 0.2500
Ni 0.3287 0.3287 0.5595
La 0.8749 0.1251 0.5000
La 0.6090 0.6090 0.7500
La 0.1251 0.8749 0.5000
Al 0.6475 0.3525 0.0000

=====

[19]
DFT (PBE-GGA) results for crystalline LaPr2Y6Tm3 at its relaxed geometry.

Output
Spin magnetization: 0.00 μB/atom
DFT formation energy: 0.03 eV per atom

Cell: 6.2271 6.2271 11.8678 Å, 95.01 95.01 119.98°
Element x y z (fractional)
Tm 0.8332 0.1668 0.5000
Y 0.4199 0.0862 0.2562
Y 0.5801 0.9138 0.7438
Tm 0.1668 0.8332 0.5000
Y 0.0862 0.4199 0.2562
Y 0.9138 0.5801 0.7438
La 0.0000 0.0000 0.0000
Tm 0.5000 0.5000 0.5000
Y 0.2475 0.2475 0.7437
Pr 0.3334 0.6666 0.0000
Y 0.7525 0.7525 0.2563
Pr 0.6666 0.3334 0.0000

=====

[20]
DFT (PBE-GGA) results for crystalline BaCd3Bi2 at its relaxed geometry.

Output
Spin magnetization: 0.00 μB/atom
DFT formation energy: -0.30 eV per atom

Cell: 5.0244 9.7163 9.9272 Å, 122.49 90.00 104.98°
Element x y z (fractional)
Bi 0.1907 0.3813 0.7761
Cd 0.0796 0.1593 0.4079
Bi 0.5225 0.0449 0.1908
Cd 0.4160 0.8320 0.3510
Cd 0.2798 0.5597 0.5804
Ba 0.1446 0.2892 0.0843
Ba 0.8554 0.7108 0.9157
Cd 0.7202 0.4403 0.4196
Cd 0.5840 0.1680 0.6490
Bi 0.8093 0.6187 0.2239
Bi 0.4775 0.9551 0.8092
Cd 0.9204 0.8407 0.5921